# SmSi2TcIr PBE relaxed
data_SmSi2TcIr
_cell_length_a 4.2234
_cell_length_b 4.2234
_cell_length_c 9.7803
_cell_angle_alpha 90.00
_cell_angle_beta 90.00
_cell_angle_gamma 90.00
_symmetry_space_group_name_H-M 'P 1'
_symmetry_Int_Tables_number 1
loop_
_symmetry_equiv_pos_as_xyz
'x,y,z'
loop_
_atom_site_label
_atom_site_type_symbol
_atom_site_fract_x
_atom_site_fract_y
_atom_site_fract_z
Sm1 Sm 0.0000 0.0000 0.0000
Sm2 Sm 0.5000 0.5000 0.5000
Si1 Si 0.0000 0.0000 0.3696
Si2 Si 0.0000 0.0000 0.6304
Si3 Si 0.5000 0.5000 0.1304
Si4 Si 0.5000 0.5000 0.8696
Tc1 Tc 0.0000 0.5000 0.7500
Tc2 Tc 0.5000 0.0000 0.2500
Ir1 Ir 0.0000 0.5000 0.2500
Ir2 Ir 0.5000 0.0000 0.7500
# **Energy**: -7.844 eV/atom
# **Space-group type**: I-4m2
# **Total magnetic moment**: 0.0 μB/cell



# SmYSi2Ir PBE relaxed
data_SmYSi2Ir
_cell_length_a 5.6876
_cell_length_b 5.6876
_cell_length_c 10.2392
_cell_angle_alpha 115.40
_cell_angle_beta 115.40
_cell_angle_gamma 44.15
_symmetry_space_group_name_H-M 'P 1'
_symmetry_Int_Tables_number 1
loop_
_symmetry_equiv_pos_as_xyz
'x,y,z'
loop_
_atom_site_label
_atom_site_type_symbol
_atom_site_fract_x
_atom_site_fract_y
_atom_site_fract_z
Sm1 Sm 0.1924 0.1924 0.1134
Sm2 Sm 0.8076 0.8076 0.8866
Y1 Y 0.0062 0.0062 0.3286
Y2 Y 0.9938 0.9938 0.6714
Si1 Si 0.3523 0.3523 0.4460
Si2 Si 0.4913 0.4913 0.1180
Si3 Si 0.5087 0.5087 0.8820
Si4 Si 0.6477 0.6477 0.5540
Ir1 Ir 0.2697 0.2697 0.6532
Ir2 Ir 0.7303 0.7303 0.3468
# **Energy**: -7.110 eV/atom
# **Space-group type**: C2/m
# **Total magnetic moment**: 0.0 μB/cell



# SiSn2Ir PBE relaxed
data_SiSn2Ir
_cell_length_a 6.7772
_cell_length_b 6.7772
_cell_length_c 6.7772
_cell_angle_alpha 90.00
_cell_angle_beta 90.00
_cell_angle_gamma 90.00
_symmetry_space_group_name_H-M 'P 1'
_symmetry_Int_Tables_number 1
loop_
_symmetry_equiv_pos_as_xyz
'x,y,z'
loop_
_atom_site_label
_atom_site_type_symbol
_atom_site_fract_x
_atom_site_fract_y
_atom_site_fract_z
Si1 Si 0.0000 0.0000 0.0000
Si2 Si 0.0000 0.5000 0.5000
Si3 Si 0.5000 0.0000 0.5000
Si4 Si 0.5000 0.5000 0.0000
Sn1 Sn 0.0000 0.0000 0.5000
Sn2 Sn 0.0000 0.5000 0.0000
Sn3 Sn 0.2500 0.2500 0.7500
Sn4 Sn 0.2500 0.7500 0.2500
Sn5 Sn 0.5000 0.0000 0.0000
Sn6 Sn 0.5000 0.5000 0.5000
Sn7 Sn 0.7500 0.2500 0.2500
Sn8 Sn 0.7500 0.7500 0.7500
Ir1 Ir 0.2500 0.2500 0.2500
Ir2 Ir 0.2500 0.7500 0.7500
Ir3 Ir 0.7500 0.2500 0.7500
Ir4 Ir 0.7500 0.7500 0.2500
# **Energy**: -5.182 eV/atom
# **Space-group type**: F-43m
# **Total magnetic moment**: 0.0 μB/cell



# SiSnIr2 PBE relaxed
data_SiSnIr2
_cell_length_a 5.6729
_cell_length_b 3.7758
_cell_length_c 6.4102
_cell_angle_alpha 90.00
_cell_angle_beta 90.05
_cell_angle_gamma 90.00
_symmetry_space_group_name_H-M 'P 1'
_symmetry_Int_Tables_number 1
loop_
_symmetry_equiv_pos_as_xyz
'x,y,z'
loop_
_atom_site_label
_atom_site_type_symbol
_atom_site_fract_x
_atom_site_fract_y
_atom_site_fract_z
Si1 Si 0.2492 0.2500 0.3912
Si2 Si 0.7508 0.7500 0.6088
Sn1 Sn 0.2510 0.7500 0.9251
Sn2 Sn 0.7490 0.2500 0.0749
Ir1 Ir 0.0010 0.7500 0.3042
Ir2 Ir 0.4978 0.7500 0.3053
Ir3 Ir 0.5022 0.2500 0.6947
Ir4 Ir 0.9990 0.2500 0.6958
# **Energy**: -7.286 eV/atom
# **Space-group type**: P2_1/m
# **Total magnetic moment**: 0.0 μB/cell
# **E above lowest polymorph**: 0.000 eV per atom



# SiSnIr4 PBE relaxed
data_SiSnIr4
_cell_length_a 4.0699
_cell_length_b 4.0699
_cell_length_c 6.1945
_cell_angle_alpha 90.00
_cell_angle_beta 90.00
_cell_angle_gamma 90.00
_symmetry_space_group_name_H-M 'P 1'
_symmetry_Int_Tables_number 1
loop_
_symmetry_equiv_pos_as_xyz
'x,y,z'
loop_
_atom_site_label
_atom_site_type_symbol
_atom_site_fract_x
_atom_site_fract_y
_atom_site_fract_z
Si1 Si 0.0000 0.0000 0.0000
Sn1 Sn 0.5000 0.5000 0.5000
Ir1 Ir 0.0000 0.5000 0.2211
Ir2 Ir 0.0000 0.5000 0.7789
Ir3 Ir 0.5000 0.0000 0.2211
Ir4 Ir 0.5000 0.0000 0.7789
# **Energy**: -7.536 eV/atom
# **Space-group type**: P4/mmm
# **Total magnetic moment**: 0.0 μB/cell



# SiSnIr2 PBE relaxed
data_SiSnIr2
_cell_length_a 3.6357
_cell_length_b 5.8791
_cell_length_c 6.3368
_cell_angle_alpha 90.00
_cell_angle_beta 90.00
_cell_angle_gamma 90.00
_symmetry_space_group_name_H-M 'P 1'
_symmetry_Int_Tables_number 1
loop_
_symmetry_equiv_pos_as_xyz
'x,y,z'
loop_
_atom_site_label
_atom_site_type_symbol
_atom_site_fract_x
_atom_site_fract_y
_atom_site_fract_z
Si1 Si 0.0000 0.0595 0.0000
Si2 Si 0.5000 0.9405 0.5000
Sn1 Sn 0.0000 0.5529 0.6596
Sn2 Sn 0.5000 0.4471 0.1596
Ir1 Ir 0.0000 0.2189 0.3756
Ir2 Ir 0.0000 0.7698 0.2861
Ir3 Ir 0.5000 0.2302 0.7861
Ir4 Ir 0.5000 0.7811 0.8756
# **Energy**: -7.142 eV/atom
# **Space-group type**: Pmn2_1
# **Total magnetic moment**: 0.0 μB/cell
# **E above lowest polymorph**: 0.144 eV per atom